(1)
DFT (PBE) results for a relaxed BaBeNi2 crystal.

a b c (Å): 5.2203 5.2203 5.2203
angles (deg): 135.01 135.01 65.51
Last column: nearest neighbours and their distance in Å.
Element x y z (fractional)
1 Ni 0.0000 0.0000 0.0000  4 Ba 2.82, 4 Be 2.97, 4 Ni 2.97
2 Ni 0.2500 0.7500 0.5000  4 Be 2.82, 4 Ni 2.97, 4 Ba 2.97
3 Ba 0.5000 0.5000 0.0000  8 Ni 2.82-2.97, 4 Be 2.97
4 Be 0.7500 0.2500 0.5000  8 Ni 2.82-2.97, 4 Ba 2.97

Output
Its distance to the lowest polymorph of the same formula is 792 meV per atom. The total energy is -3.572 eV per atom. The value obtained for the total magnetic moment is 0.0 μB per cell. The value obtained for the formation energy is 0.731 eV/atom. Its density of states at the Fermi level is 1.3 states/eV/f.u.

=====

(2)
DFT (PBE) results for a relaxed BaBeNi2 crystal.

a b c (Å): 3.6372 4.6016 5.0242
angles (deg): 85.99 90.00 90.00
Last column: nearest neighbours and their distance in Å.
Element x y z (fractional)
1 Ni 0.0000 0.0037 0.7824  2 Be 2.17, 2 Ni 2.27-2.38
2 Ni 0.0000 0.4963 0.7176  2 Be 2.17, 2 Ni 2.27-2.38
3 Ba 0.5000 0.2500 0.2500  8 Ni 3.24-3.37, 4 Be 3.29-3.52
4 Be 0.5000 0.7500 0.7500  4 Ni 2.17

Output
Its distance to the lowest polymorph of the same formula is 237 meV per atom. The total energy is -4.126 eV per atom. The value obtained for the total magnetic moment is 0.0 μB per cell. The value obtained for the formation energy is 0.177 eV/atom. Its density of states at the Fermi level is 1.4 states/eV/f.u.

=====

Which of these has the lowest distance to the lowest polymorph of the same formula?
number 2

=====

Which of these has the lowest distance to the lowest polymorph of the same formula?
number 2

=====

Which of these has the lowest distance to the lowest polymorph of the same formula?
number 2

=====

Number 2 is which compound?
BaBeNi2